Here is AcTi4 after structural relaxation from Alexandria via LeMat-Bulk. Energies are from PBE.

The structure in CIF format:
```
data_AcTi4
_chemical_formula_sum 'Ac1 Ti4'
_cell_length_a 4.9980
_cell_length_b 4.9980
_cell_length_c 4.9980
_cell_angle_alpha 90.00
_cell_angle_beta 90.00
_cell_angle_gamma 90.00
_space_group_name_H-M_alt 'P 1'
_space_group_IT_number 1
loop_
_space_group_symop_operation_xyz
'x,y,z'
loop_
_atom_site_label
_atom_site_type_symbol
_atom_site_fract_x
_atom_site_fract_y
_atom_site_fract_z
_atom_site_occupancy
Ac1 Ac 0.5000 0.5000 0.5000 1
Ti1 Ti 0.0000 0.0000 0.0000 1
Ti2 Ti 0.5000 0.0000 0.5000 1
Ti3 Ti 0.0000 0.5000 0.5000 1
Ti4 Ti 0.5000 0.5000 0.0000 1
```

Results
- SG: Pm-3m (221)
- Size of the total moment: 0.32 μB/atom

---

Here is AcTiTl after structural relaxation from Alexandria via LeMat-Bulk. Energies are from PBE.

The structure in CIF format:
```
data_AcTiTl
_chemical_formula_sum 'Ac2 Ti2 Tl2'
_cell_length_a 5.3850
_cell_length_b 3.8066
_cell_length_c 11.9051
_cell_angle_alpha 90.00
_cell_angle_beta 90.00
_cell_angle_gamma 135.02
_space_group_name_H-M_alt 'P 1'
_space_group_IT_number 1
loop_
_space_group_symop_operation_xyz
'x,y,z'
loop_
_atom_site_label
_atom_site_type_symbol
_atom_site_fract_x
_atom_site_fract_y
_atom_site_fract_z
_atom_site_occupancy
Tl1 Tl 0.6945 0.3889 0.0000 1
Tl2 Tl 0.1944 0.3888 0.5000 1
Ti1 Ti 0.6944 0.3888 0.3997 1
Ti2 Ti 0.6944 0.3888 0.6003 1
Ac1 Ac 0.1944 0.3889 0.7971 1
Ac2 Ac 0.1944 0.3889 0.2029 1
```

Results
- SG: P4/mmm (123)
- Size of the total moment: 0.00 μB/atom

---

no.,calculated total energy (eV per atom)
1,-5.306
2,-4.700